Below is a relaxed structure of Li5IO6, with properties calculated at the PBEsol level.

Summary:
Uncorrected energy (eV per atom): -5.19
SG: P3_112, No. 151
Total moment (μB per formula unit): 0.0
Energy relative to the elements, uncorrected (eV per atom): -1.603

Cell and atoms, written as POSCAR:
```
Li5IO6
1.0
5.087 0.000 0.000
-2.543 4.405 0.000
0.000 0.000 14.264
Li I O
15 3 18
direct
0.780 0.561 0.667
0.446 0.893 0.667
0.111 0.222 0.167
0.780 0.220 0.333
0.774 0.226 0.833
0.107 0.554 0.000
0.439 0.220 0.000
0.443 0.557 0.833
0.778 0.889 0.500
0.453 0.226 0.500
0.774 0.547 0.167
0.111 0.889 0.833
0.114 0.557 0.500
0.446 0.554 0.333
0.443 0.886 0.167
0.113 0.887 0.333
0.113 0.225 0.667
0.775 0.887 0.000
0.077 0.884 0.075
0.812 0.227 0.588
0.773 0.585 0.922
0.112 0.584 0.256
0.472 0.584 0.077
0.415 0.227 0.745
0.077 0.192 0.925
0.116 0.192 0.409
0.812 0.585 0.412
0.415 0.188 0.255
0.808 0.884 0.258
0.116 0.923 0.591
0.416 0.888 0.411
0.773 0.188 0.078
0.416 0.528 0.589
0.112 0.528 0.744
0.472 0.888 0.923
0.808 0.923 0.742
```